(1)
# Rb3InPb2

A relaxed structure of Rb3InPb2 (GGA-PBE, Alexandria).

Output
DFT formation energy   -0.115 eV/atom
DFT total energy   -27.5 eV/cell
Space-group type   No. 12

Geometry as POSCAR:
```
Rb3InPb2
1.0
-1.5054 1.5674 -4.5927
-1.8071 -5.8644 -4.2196
-16.2584 -5.1537 0.7598
Rb In Pb
6 2 4
Cartesian
-14.0353 -9.0567 -4.1114
-5.5356 -0.3940 -3.9411
-18.0784 -8.5418 -5.4210
-1.4924 -0.9089 -2.6315
-12.0739 -5.8922 -6.4849
-7.4970 -3.5585 -1.5676
-13.5556 -5.3084 -2.9894
-6.0152 -4.1423 -5.0630
-15.7999 -5.1259 -5.0021
-3.7710 -4.3248 -3.0504
-10.8493 -3.8398 -3.3753
-8.7216 -5.6109 -4.6772
```

=====

(2)
# BaCuOs2

A relaxed structure of BaCuOs2 (GGA-PBE, Alexandria).

Output
DFT formation energy   0.204 eV/atom
DFT total energy   -27.7 eV/cell
Offset from the most stable computed form   0 meV/atom
Space-group type   No. 160

Geometry as POSCAR:
```
BaCuOs2
1.0
4.3165 -0.0152 0.0220
2.1715 3.7305 0.0220
2.1326 1.2212 5.8440
Ba Cu Os
1 1 2
Cartesian
4.3114 2.4689 2.9207
6.4601 3.6993 5.3979
6.4869 3.7147 0.2018
2.1606 1.2373 0.3553
```

=====

(3)
# CdCu2Tc

A relaxed structure of CdCu2Tc (GGA-PBE, Alexandria).

Output
DFT formation energy   0.453 eV/atom
DFT total energy   -17.7 eV/cell
Space-group type   No. 47

Geometry as POSCAR:
```
CdCu2Tc
1.0
-0.2374 -2.7510 0.1066
3.7529 -0.4355 -2.8835
2.7818 -0.0992 3.6355
Cd Cu Tc
1 2 1
Cartesian
3.2673 -0.2673 0.3760
0.0000 0.0000 0.0000
1.7578 -1.5933 -1.3885
1.2722 -1.4251 1.8710
```

=====

(4)
# Pu2Sn8Pd

A relaxed structure of Pu2Sn8Pd (GGA-PBE, Alexandria).

Output
DFT formation energy   -0.312 eV/atom
DFT total energy   -69.3 eV/cell
Space-group type   No. 12

Geometry as POSCAR:
```
Pu2Sn8Pd
1.0
-2.6192 -3.3218 -2.0844
3.4518 -3.1449 0.6774
-4.9173 -3.0261 10.9805
Pu Sn Pd
2 8 1
Cartesian
1.9110 -4.0925 4.1118
-5.9957 -5.4004 5.4617
-0.7327 -3.0855 5.8290
-3.7682 -3.1740 4.4480
-1.1234 -4.1800 2.7283
-2.9613 -5.3128 6.8452
1.0989 -1.9588 1.7307
1.5156 -5.1896 1.0282
-5.1836 -7.5341 7.8428
-5.6003 -4.3032 8.5453
0.0000 0.0000 0.0000
```

=====

(5)
# TmPuIn

A relaxed structure of TmPuIn (GGA-PBE, Alexandria).

Output
DFT formation energy   -0.091 eV/atom
DFT total energy   -21.8 eV/cell
Offset from the most stable computed form   130 meV/atom
Space-group type   No. 156

Geometry as POSCAR:
```
TmPuIn
1.0
-2.9441 -0.1530 -1.5210
-2.2555 -1.5604 4.5228
0.3275 5.1520 -1.1522
Tm In Pu
1 1 1
Cartesian
-2.6342 2.8054 -0.3458
-2.8784 -0.1496 -1.4871
-2.3035 0.6298 2.1615
```

=====

(6)
# Ti4O

A relaxed structure of Ti4O (GGA-PBE, Alexandria).

Output
DFT total energy   -42.0 eV/cell
Offset from the most stable computed form   21 meV/atom
E_form (uncorrected)   -1.097 eV per atom
Space-group type   No. 221

Geometry as POSCAR:
```
Ti4O
1.0
4.1617 0.0000 0.0000
0.0000 4.1617 0.0000
0.0000 0.0000 4.1617
Ti O
4 1
Cartesian
0.0000 0.0000 0.0000
2.0808 0.0000 2.0808
0.0000 2.0808 2.0808
2.0808 2.0808 0.0000
2.0808 2.0808 2.0808
```

=====

(7)
# Nd2SmDyH

A relaxed structure of Nd2SmDyH (GGA-PBE, Alexandria).

Output
DFT total energy   -23.1 eV/cell
Space-group type   No. 123

Geometry as POSCAR:
```
Nd2SmDyH
1.0
5.0722 0.0000 0.0000
0.0000 5.1341 0.0000
0.0000 0.0000 5.1341
Nd Sm Dy H
2 1 1 1
Cartesian
0.0000 0.0000 2.5670
0.0000 2.5670 0.0000
2.5361 2.5670 2.5670
2.5361 0.0000 0.0000
0.0000 0.0000 0.0000
```

=====

(8)
# PuMgAg2O6

A relaxed structure of PuMgAg2O6 (GGA-PBE, Alexandria).

Output
DFT total energy   -66.6 eV/cell
E_form (uncorrected)   -1.527 eV per atom
Space-group type   No. 148

Geometry as POSCAR:
```
PuMgAg2O6
1.0
5.5800 0.0002 -0.0020
-2.7896 4.8326 0.0002
-2.7894 -1.6105 4.7487
Pu Mg Ag O
1 1 2 6
Cartesian
0.0431 3.2433 4.6528
2.8325 1.6320 2.2787
0.0430 3.2422 1.1363
0.0425 0.0221 3.4267
-1.5642 2.9094 3.4796
1.6497 0.3551 1.0785
2.3190 3.2948 1.0775
-1.0502 1.2456 1.0807
1.1351 2.0190 3.4775
-2.2335 -0.0307 3.4806
```

=====

(9)
# CaMg14Sn

A relaxed structure of CaMg14Sn (GGA-PBE, Alexandria).

Output
DFT formation energy   -0.017 eV/atom
DFT total energy   -28.6 eV/cell
Offset from the most stable computed form   22 meV/atom
Space-group type   No. 187

Geometry as POSCAR:
```
CaMg14Sn
1.0
3.2706 -5.6649 0.0000
3.2706 5.6649 0.0000
0.0000 0.0000 10.3696
Ca Mg Sn
1 14 1
Cartesian
0.0000 0.0000 0.0000
1.6802 2.8066 0.0000
4.8625 -2.8074 5.1848
4.8611 2.8066 0.0000
1.6788 -2.8074 5.1848
3.2706 0.0518 0.0000
3.2706 -0.0502 5.1848
3.2706 3.7444 2.6895
3.2706 3.7444 7.6801
1.6632 0.9602 2.6895
1.6632 0.9602 7.6801
4.8781 0.9602 2.6895
4.8781 0.9602 7.6801
3.2706 -1.8883 2.5393
3.2706 -1.8883 7.8303
0.0000 0.0000 5.1848
```

=====

(10)
# Mg4Cd2InPb2

A relaxed structure of Mg4Cd2InPb2 (GGA-PBE, Alexandria).

Output
DFT formation energy   -0.024 eV/atom
DFT total energy   -18.6 eV/cell
Space-group type   No. 12

Geometry as POSCAR:
```
Mg4Cd2InPb2
1.0
3.5009 0.0000 0.0000
-1.7504 7.6882 0.3819
0.0000 -2.2671 8.1993
Mg Cd In Pb
4 2 1 2
Cartesian
1.7505 3.1545 6.3667
0.0000 2.2665 2.2146
1.7504 -0.4840 2.5998
0.0000 5.9050 5.9814
0.0000 5.0039 0.7059
1.7504 0.4172 7.8754
0.0000 0.0000 0.0000
1.7504 4.5563 3.6066
0.0000 0.8648 4.9747
```

=====

(11)
# SrCa2Hg5

A relaxed structure of SrCa2Hg5 (GGA-PBE, Alexandria).

Output
DFT formation energy   -0.453 eV/atom
DFT total energy   -10.8 eV/cell
Space-group type   No. 139

Geometry as POSCAR:
```
SrCa2Hg5
1.0
5.1983 0.0000 -1.4289
-0.3928 5.1834 -1.4289
-0.4677 -0.5045 8.4685
Sr Ca Hg
1 2 5
Cartesian
0.0000 0.0000 0.0000
3.3207 3.5818 1.9104
1.0171 1.0971 3.7003
2.4028 2.5917 -1.4289
4.0267 1.5398 4.4786
1.2311 4.1315 4.4786
0.3112 3.1392 1.1320
3.1067 0.5475 1.1320
```

=====

(12)
# CdSbN2O

A relaxed structure of CdSbN2O (GGA-PBE, Alexandria).

Output
DFT total energy   -19.5 eV/cell
E_form (uncorrected)   1.435 eV per atom
Space-group type   No. 123

Geometry as POSCAR:
```
CdSbN2O
1.0
-3.3971 1.4989 2.0008
-0.5098 -3.7201 1.9213
2.3981 1.2792 3.1132
Sb N O Cd
1 2 1 1
Cartesian
-0.7544 -0.4710 3.5177
-0.2549 -1.8600 0.9607
-1.6985 0.7495 1.0004
1.1990 0.6396 1.5566
0.0000 0.0000 0.0000
```